A relaxed NaEuLu2 crystal, computed with PBE.

Values from the calculation:
SG: R-3m (166)
Formation enthalpy at 0 K: 283.1 meV per atom

```
4
Lattice="-0.5174 0.8578 -3.3472 2.3142 -0.9723 -2.4304 -5.8849 -10.9717 -3.7256" Properties=species:S:1:pos:R:3 pbc="T T T"
Eu -2.0441 -5.5431 -4.7516
Na 0.0000 0.0000 0.0000
Lu -4.1457 -8.0389 -3.2429
Lu 0.0576 -3.0473 -6.2604
```